A plane-wave DFT calculation with PBE-GGA was carried out for crystalline K3CaGe2O6 at its relaxed geometry.

Summary:
Formation energy (no corrections)   -1754 meV per atom
N(E_F)   3.19 states/eV/cell
ρ   2.8 g cm⁻³
Total energy   -0.4001 Ry/atom
Volume   19.5 Å³/atom

Geometry as POSCAR:
```
K3CaGe2O6
1.0
-4.310 4.088 -1.462
0.652 -1.813 5.806
4.709 5.376 1.149
K O Ge Ca
3 6 2 1
Direct
0.333 0.667 0.702
0.000 0.000 0.000
0.667 0.333 0.298
0.173 0.345 0.294
0.173 0.827 0.294
0.827 0.655 0.706
0.655 0.827 0.294
0.345 0.173 0.706
0.827 0.173 0.706
0.667 0.333 0.754
0.333 0.667 0.246
0.000 0.000 0.500
```